Li4PO5: optimized geometry, GGA-PBE.

SG = I4, No. 79
M_tot = 1.0 μB/f.u.
Fermi-level density of states = 1.00 states/eV/f.u.

Geometry as POSCAR:
```
Li4PO5
1.0
-3.050 3.050 2.359
3.050 -3.050 2.359
3.050 3.050 -2.359
Li P O
4 1 5
direct
0.073 0.705 0.778 Li
0.295 0.073 0.368 Li
0.705 0.927 0.632 Li
0.927 0.295 0.222 Li
0.486 0.486 0.000 P
0.149 0.149 0.000 O
0.317 0.500 0.674 O
0.500 0.826 0.183 O
0.643 0.317 0.817 O
0.826 0.643 0.326 O
```


Li3PO4: optimized geometry, GGA-PBE.

SG = P-43m, No. 215
energy above the lowest structure with this stoichiometry = 49 meV/atom
M_tot = 0.0 μB/f.u.
Fermi-level density of states = 0.00 states/eV/f.u.

Geometry as POSCAR:
```
Li3PO4
1.0
4.305 0.000 0.000
0.000 4.305 0.000
0.000 0.000 4.305
Li P O
3 1 4
direct
0.000 0.000 0.500 Li
0.000 0.500 0.000 Li
0.500 0.000 0.000 Li
0.500 0.500 0.500 P
0.290 0.290 0.710 O
0.290 0.710 0.290 O
0.710 0.290 0.290 O
0.710 0.710 0.710 O
```


LiP2O2: optimized geometry, GGA-PBE.

SG = P4/mmm, No. 123
energy above the lowest structure with this stoichiometry = 260 meV/atom
M_tot = 0.0 μB/f.u.
Fermi-level density of states = 2.88 states/eV/f.u.

Geometry as POSCAR:
```
LiP2O2
1.0
3.401 0.000 0.000
0.000 3.401 0.000
0.000 0.000 4.906
Li P O
1 2 2
direct
0.000 0.000 0.000 Li
0.500 0.500 0.000 P
0.500 0.500 0.500 P
0.000 0.500 0.500 O
0.500 0.000 0.500 O
```


Li2P2O7: optimized geometry, GGA-PBE.

SG = C2/m, No. 12
M_tot = 2.0 μB/f.u.
Fermi-level density of states = 2.04 states/eV/f.u.

Geometry as POSCAR:
```
Li2P2O7
1.0
3.503 -4.068 0.000
3.503 4.068 0.000
-1.466 0.000 4.629
Li P O
2 2 7
direct
0.180 0.820 0.000 Li
0.820 0.180 0.000 Li
0.294 0.294 0.573 P
0.706 0.706 0.427 P
0.127 0.127 0.291 O
0.147 0.444 0.770 O
0.444 0.147 0.770 O
0.500 0.500 0.500 O
0.556 0.853 0.230 O
0.853 0.556 0.230 O
0.873 0.873 0.709 O
```


Li2PO4: optimized geometry, GGA-PBE.

SG = I4/mmm, No. 139
energy above the lowest structure with this stoichiometry = 0 meV/atom
M_tot = 1.0 μB/f.u.
Fermi-level density of states = 1.42 states/eV/f.u.

Geometry as POSCAR:
```
Li2PO4
1.0
-3.421 3.421 4.319
3.421 -3.421 4.319
3.421 3.421 -4.319
Li P O
4 2 8
direct
0.199 0.199 0.397 Li
0.199 0.801 0.000 Li
0.801 0.199 0.000 Li
0.801 0.801 0.603 Li
0.250 0.750 0.500 P
0.750 0.250 0.500 P
0.146 0.462 0.316 O
0.146 0.831 0.684 O
0.169 0.854 0.316 O
0.462 0.146 0.316 O
0.538 0.854 0.684 O
0.831 0.146 0.684 O
0.854 0.169 0.316 O
0.854 0.538 0.684 O
```


Li7PO2: optimized geometry, GGA-PBE.

SG = Cmmm, No. 65
M_tot = 0.0 μB/f.u.

Geometry as POSCAR:
```
Li7PO2
1.0
3.054 -4.914 0.000
3.054 4.914 0.000
0.000 0.000 3.871
Li P O
7 1 2
direct
0.000 0.000 0.000 Li
0.180 0.458 0.000 Li
0.215 0.785 0.500 Li
0.458 0.180 0.000 Li
0.542 0.820 0.000 Li
0.785 0.215 0.500 Li
0.820 0.542 0.000 Li
0.500 0.500 0.500 P
0.189 0.811 0.000 O
0.811 0.189 0.000 O
```


Uncorrected energy per entry: -5.774; -6.226; -5.112; -6.358; -6.119; -4.144 eV per atom